The following is a DFT calculation (PBE-GGA) of a geometry-optimized Sc2Tc3Ge4 structure.

Lattice parameters (Å, degrees): 6.8550 6.7843 6.7066 90.00 110.05 90.00
Space group P2_1/c (No. 14)
One atom of each set of equivalent atoms:
Sc1 0.1926 0.1685 0.0509
Tc1 0.2337 0.6457 0.2572
Tc2 0.5000 0.0000 0.5000
Ge1 0.0998 0.5472 0.8625
Ge2 0.4936 0.6445 0.6394

Summary:
As for the formation energy: -0.57 eV/atom. For the total energy, the calculation gives -7.48 eV/atom.

=====

The following is a DFT calculation (PBE-GGA) of a geometry-optimized BaTlGa2N structure.

Lattice parameters (Å, degrees): 4.6743 4.6743 5.6778 90.00 90.00 90.00
Space group P4/mmm (No. 123)
One atom of each set of equivalent atoms:
Ba1 0.0000 0.0000 0.0000
Tl1 0.5000 0.5000 0.0000
Ga1 0.0000 0.5000 0.5000
N1 0.5000 0.5000 0.5000

Summary:
For the energy relative to the elements, uncorrected, the calculation gives 0.42 eV per atom. For the total energy, the calculation gives -3.31 eV/atom.

=====

The following is a DFT calculation (PBE-GGA) of a geometry-optimized LaNdZnSn structure.

Lattice parameters (Å, degrees): 7.6581 7.6581 7.6581 90.00 90.00 90.00
Space group F-43m (No. 216)
One atom of each set of equivalent atoms:
La1 0.0000 0.0000 0.0000
Nd1 0.0000 0.0000 0.5000
Zn1 0.2500 0.2500 0.2500
Sn1 0.2500 0.2500 0.7500

Summary:
As for the formation energy: -0.53 eV/atom. For the total energy, the calculation gives -4.28 eV/atom.